No. 1
Material: BaAlBr5
Method: DFT, GGA-PBE
State: optimized geometry

Summary:
- formation energy without anion corrections (meV/atom) = -1550
- spin magnetization (μB per cell) = 0.21

abc: 8.017 8.024 11.136
angles: 107.54 107.48 97.10
Space group P-1 (No. 2)
Inequivalent atoms, fractional coordinates:
Ba (0.000, 0.000, 0.000) [1 per cell]
Ba (0.500, 0.500, 0.500) [1 per cell]
Al (0.090, 0.409, 0.750) [2 per cell]
Br (0.178, 0.273, 0.569) [2 per cell]
Br (0.185, 0.720, 0.815) [2 per cell]
Br (0.221, 0.686, 0.316) [2 per cell]
Br (0.227, 0.322, 0.931) [2 per cell]
Br (0.360, 0.140, 0.250) [2 per cell]

---

No. 2
Material: Pu3Be2Pd5
Method: DFT, GGA-PBE
State: optimized geometry

Summary:
- total DFT energy (no corrections) (eV per cell) = -161.658
- spin magnetization (μB per cell) = 33.16

abc: 10.553 10.553 3.193
angles: 90.00 90.00 90.00
Space group P4/mbm (No. 127)
Inequivalent atoms, fractional coordinates:
Pu (0.000, 0.000, 0.000) [2 per cell]
Pu (0.181, 0.319, 0.000) [4 per cell]
Be (0.115, 0.615, 0.000) [4 per cell]
Pd (0.000, 0.500, 0.500) [2 per cell]
Pd (0.067, 0.767, 0.500) [8 per cell]

---

No. 3
Material: Rb2TbSmTe4
Method: DFT, GGA-PBE
State: optimized geometry

Summary:
- formation energy without anion corrections (meV/atom) = -1396
- spin magnetization (μB per cell) = 0.00

abc: 7.919 4.573 8.958
angles: 90.00 107.12 90.00
Space group P2/m (No. 10)
Inequivalent atoms, fractional coordinates:
Rb (0.000, 0.000, 0.000) [1 per cell]
Rb (0.500, 0.500, 0.000) [1 per cell]
Tb (0.000, 0.500, 0.500) [1 per cell]
Sm (0.500, 0.000, 0.500) [1 per cell]
Te (0.230, 0.000, 0.701) [2 per cell]
Te (0.263, 0.500, 0.298) [2 per cell]

---

No. 4
Material: Be2Al2H
Method: DFT, GGA-PBE
State: optimized geometry

Summary:
- energy relative to the lowest polymorph listed for this composition (meV per atom) = 44
- spin magnetization (μB per cell) = 0.00

abc: 4.787 4.787 5.509
angles: 90.00 90.00 90.00
Space group I4/mmm (No. 139)
Inequivalent atoms, fractional coordinates:
Be (0.000, 0.000, 0.204) [4 per cell]
Al (0.000, 0.500, 0.250) [4 per cell]
H (0.000, 0.000, 0.500) [2 per cell]

---

No. 5
Material: TbPm2Pu3Se6
Method: DFT, GGA-PBE
State: optimized geometry

Summary:
- formation energy without anion corrections (meV/atom) = -1695
- spin magnetization (μB per cell) = 34.79

abc: 18.134 4.140 8.329
angles: 90.00 103.72 90.00
Space group C2/m (No. 12)
Inequivalent atoms, fractional coordinates:
Tb (0.000, 0.000, 0.000) [2 per cell]
Pm (0.167, 0.500, 0.334) [4 per cell]
Pu (0.000, 0.000, 0.500) [2 per cell]
Pu (0.168, 0.500, 0.833) [4 per cell]
Se (0.002, 0.500, 0.754) [4 per cell]
Se (0.165, 0.000, 0.079) [4 per cell]
Se (0.165, 0.000, 0.586) [4 per cell]

---

No. 6
Material: LaPm6Co2
Method: DFT, GGA-PBE
State: optimized geometry

Summary:
- total DFT energy (no corrections) (eV per cell) = -190.110
- spin magnetization (μB per cell) = 0.85

abc: 9.682 10.164 10.560
angles: 90.00 90.00 90.00
Space group Immm (No. 71)
Inequivalent atoms, fractional coordinates:
La (0.000, 0.000, 0.000) [2 per cell]
La (0.000, 0.500, 0.000) [2 per cell]
Pm (0.000, 0.215, 0.227) [8 per cell]
Pm (0.195, 0.195, 0.500) [8 per cell]
Pm (0.197, 0.500, 0.307) [8 per cell]
Co (0.000, 0.000, 0.390) [4 per cell]
Co (0.000, 0.390, 0.500) [4 per cell]

---

No. 7
Material: KTl2Rh
Method: DFT, GGA-PBE
State: optimized geometry

Summary:
- total DFT energy (no corrections) (eV per cell) = -50.306
- spin magnetization (μB per cell) = 0.00

abc: 6.332 6.332 16.461
angles: 90.00 90.00 90.00
Space group I-42d (No. 122)
Inequivalent atoms, fractional coordinates:
K (0.000, 0.000, 0.000) [4 per cell]
Tl (0.040, 0.250, 0.625) [8 per cell]
Rh (0.000, 0.000, 0.500) [4 per cell]

---

No. 8
Material: Ta2CdSi
Method: DFT, GGA-PBE
State: optimized geometry

Summary:
- formation energy without anion corrections (meV/atom) = 597
- spin magnetization (μB per cell) = 0.00

abc: 3.947 3.947 19.747
angles: 90.00 90.00 90.00
Space group I-42d (No. 122)
Inequivalent atoms, fractional coordinates:
Ta (0.238, 0.250, 0.125) [8 per cell]
Cd (0.000, 0.000, 0.500) [4 per cell]
Si (0.000, 0.000, 0.000) [4 per cell]